Entry 1:
Crystalline HgTeO3 at its relaxed geometry, computed with PBE.

Computed properties:
As for the crystal system: trigonal.

Cell lengths 6.5323, 6.5323, 6.5323 Å; angles 51.98, 51.98, 51.98 degrees
Positions (direct):
Hg 0.1494 0.1494 0.1494
Hg 0.8506 0.8506 0.8506
Te 0.3732 0.3732 0.3732
Te 0.6268 0.6268 0.6268
O 0.1107 0.4465 0.7129
O 0.2871 0.8893 0.5535
O 0.4465 0.7129 0.1107
O 0.5535 0.2871 0.8893
O 0.7129 0.1107 0.4465
O 0.8893 0.5535 0.2871

Entry 2:
Crystalline Pr2GdMg3Pt3 at its relaxed geometry, computed with PBE.

Computed properties:
The total magnetization is 0.01 μB/f.u. As for the crystal system: orthorhombic.

Cell lengths 4.1291, 7.5229, 7.5229 Å; angles 120.00, 90.00, 90.00 degrees
Positions (direct):
Pr 0.0000 0.2066 0.7934
Pr 0.0000 0.7934 0.2066
Gd 0.0000 0.6150 0.6150
Mg 0.5000 0.2092 0.4480
Mg 0.5000 0.4480 0.2092
Mg 0.5000 0.9631 0.9631
Pt 0.0000 0.2121 0.2121
Pt 0.5000 0.5419 0.8659
Pt 0.5000 0.8659 0.5419

| no. | electronic total energy (eV per atom) |
| --- | --- |
| 1 | -4.308 |
| 2 | -5.020 |